Compound: NpAg2Br4O2
Source: the Alexandria database
Functional: PBE-GGA
Structure: optimized geometry

abc: 5.9069 7.6942 7.6942
angles: 61.20 91.36 91.36
Site moments in Bohr magnetons follow the coordinates.
Positions (direct):
Br  0.7001  0.3838  0.8850  -0.03
Br  0.2999  0.1150  0.6162  -0.03
Br  0.7001  0.8850  0.3838  -0.03
Br  0.2999  0.6162  0.1150  -0.03
Ag  0.4706  0.7347  0.7347  -0.02
Ag  0.5294  0.2653  0.2653  -0.02
Np  0.5000  0.0000  0.0000  1.26
O  0.7487  0.9272  0.9272  -0.05
O  0.2513  0.0728  0.0728  -0.05

Calculated values
* ΔE_f (raw): -1173 meV per atom